Record 1
The following is a DFT calculation (PBE-GGA) of a relaxed PrSbSe2O crystal.

a = 4.0783 Å, b = 4.0783 Å, c = 14.6880 Å
α = 90.00°, β = 90.00°, γ = 90.00°
Space group P4/nmm (No. 129, origin choice 2)
Unique sites:
1 Pr 0.2500 0.2500 0.0829 x2
2 Sb 0.2500 0.2500 0.6343 x2
3 Se 0.2500 0.2500 0.3929 x2
4 Se 0.2500 0.2500 0.8095 x2
5 O 0.2500 0.7500 0.0000 x2

* M_tot: 0.000 μB per atom
* uncorrected formation energy: -1.614 eV/atom



Record 2
The following is a DFT calculation (PBE-GGA) of a relaxed ZnCu2Ir2 crystal.

a = 7.0593 Å, b = 7.0593 Å, c = 2.9062 Å
α = 90.00°, β = 90.00°, γ = 90.00°
Space group P4/mbm (No. 127)
Unique sites:
1 Zn 0.0000 0.0000 0.0000 x2
2 Cu 0.1663 0.3337 0.5000 x4
3 Ir 0.1320 0.6320 0.0000 x4

* M_tot: 0.000 μB per atom
* formation energy: 0.2734 eV/atom
* offset from the most stable computed form: 0.000 eV per atom



Record 3
The following is a DFT calculation (PBE-GGA) of a relaxed NaPb2IO2 crystal.

a = 10.3832 Å, b = 9.8707 Å, c = 6.1960 Å
α = 90.00°, β = 90.00°, γ = 90.00°
Space group Cmcm (No. 63)
Unique sites:
1 Na 0.0000 0.0744 0.2500 x4
2 Pb 0.2338 0.3908 0.2500 x8
3 I 0.0000 0.3458 0.7500 x4
4 O 0.1607 0.0000 0.0000 x8

* M_tot: 0.000 μB per atom
* uncorrected formation energy: -1.099 eV/atom



Record 4
The following is a DFT calculation (PBE-GGA) of a relaxed NbAsO6 crystal.

a = 7.5819 Å, b = 7.5819 Å, c = 7.5819 Å
α = 90.00°, β = 90.00°, γ = 90.00°
Space group Fm-3m (No. 225)
Unique sites:
1 Nb 0.0000 0.0000 0.0000 x4
2 As 0.0000 0.0000 0.5000 x4
3 O 0.0000 0.0000 0.2613 x24

* M_tot: 0.140 μB per atom
* uncorrected formation energy: -1.303 eV/atom